[1]
The following is a DFT calculation (meta-GGA SCAN) of a crystal of CaSnCl2 relaxed with PBEsol.

Unit cell a=7.232 b=7.232 c=7.232 alpha=90.00 beta=90.00 gamma=90.00
Space group Fm-3m (No. 225)
Inequivalent atoms, fractional coordinates:
1 Ca 0.000 0.000 0.000 (multiplicity 4)
2 Sn 0.000 0.000 0.500 (multiplicity 4)
3 Cl 0.250 0.250 0.250 (multiplicity 8)


[2]
The following is a DFT calculation (meta-GGA SCAN) of a crystal of CaSnTe2Cl relaxed with PBEsol.

Unit cell a=5.808 b=5.808 c=4.968 alpha=90.00 beta=90.00 gamma=90.00
Space group P4/mmm (No. 123)
Inequivalent atoms, fractional coordinates:
1 Ca 0.000 0.000 0.000 (multiplicity 1)
2 Sn 0.500 0.500 0.500 (multiplicity 1)
3 Te 0.000 0.500 0.000 (multiplicity 2)
4 Cl 0.000 0.000 0.500 (multiplicity 1)


| no. | magnetization (μB/cell) | calculated density (kg/m3) | formation energy from raw total energies (eV/atom) |
| --- | --- | --- | --- |
| 1 | 0.00 | 4033 | -0.949 |
| 2 | 0.00 | 4453 | -0.550 |